1.
Computed, not measured: an optimized crystal structure of MnCr2Rh2 at the PBE-GGA level of DFT.

a = 7.057 Å, b = 7.057 Å, c = 2.652 Å
α = 90.00°, β = 90.00°, γ = 90.00°
Space group P4/mbm (No. 127)
One atom of each set of equivalent atoms:
Mn (0.000, 0.000, 0.000) (multiplicity 2)
Cr (0.116, 0.384, 0.000) (multiplicity 4)
Rh (0.179, 0.679, 0.500) (multiplicity 4)

Summary:
- Energy relative to the elements: 0.278 eV per atom
- Crystal system: tetragonal
- Total moment: 0.0 μB per formula unit
- ΔE to the lowest computed polymorph: 135.7 meV/atom

2.
Computed, not measured: an optimized crystal structure of MnCr2Rh6 at the PBE-GGA level of DFT.

a = 8.403 Å, b = 3.832 Å, c = 7.992 Å
α = 90.00°, β = 107.03°, γ = 90.00°
Space group C2/m (No. 12)
One atom of each set of equivalent atoms:
Mn (0.000, 0.000, 0.000) (multiplicity 2)
Cr (0.170, 0.500, 0.222) (multiplicity 4)
Rh (0.003, 0.000, 0.325) (multiplicity 4)
Rh (0.162, 0.500, 0.893) (multiplicity 4)
Rh (0.167, 0.500, 0.554) (multiplicity 4)

Summary:
- Energy relative to the elements: -0.094 eV per atom
- Crystal system: monoclinic
- Total moment: 0.2 μB per formula unit

3.
Computed, not measured: an optimized crystal structure of MnCrRh at the PBE-GGA level of DFT.

a = 2.766 Å, b = 3.483 Å, c = 8.268 Å
α = 90.00°, β = 90.00°, γ = 90.00°
Space group Imm2 (No. 44)
One atom of each set of equivalent atoms:
Mn (0.000, 0.000, 0.000) (multiplicity 2)
Cr (0.000, 0.000, 0.344) (multiplicity 2)
Rh (0.000, 0.000, 0.674) (multiplicity 2)

Summary:
- Energy relative to the elements: 0.030 eV per atom
- Crystal system: orthorhombic
- Total moment: 1.6 μB per formula unit
- ΔE to the lowest computed polymorph: 5.1 meV/atom

4.
Computed, not measured: an optimized crystal structure of Mn2CrRh at the PBE-GGA level of DFT.

a = 3.022 Å, b = 3.022 Å, c = 5.826 Å
α = 90.00°, β = 90.00°, γ = 90.00°
Space group P4mm (No. 99)
One atom of each set of equivalent atoms:
Mn (0.000, 0.000, 0.000) (multiplicity 1)
Mn (0.500, 0.500, 0.247) (multiplicity 1)
Cr (0.500, 0.500, 0.776) (multiplicity 1)
Rh (0.000, 0.000, 0.504) (multiplicity 1)

Summary:
- Energy relative to the elements: 0.030 eV per atom
- Crystal system: tetragonal
- Total moment: 4.2 μB per formula unit

5.
Computed, not measured: an optimized crystal structure of MnCrRh2 at the PBE-GGA level of DFT.

a = 2.7246 Å, b = 2.7246 Å, c = 25.3606 Å
α = 90.00°, β = 90.00°, γ = 120.00°
Space group R-3m (No. 166, hexagonal axes)
One atom of each set of equivalent atoms:
Mn (0.0000, 0.0000, 0.0000) (multiplicity 3)
Cr (0.0000, 0.0000, 0.5000) (multiplicity 3)
Rh (0.0000, 0.0000, 0.2471) (multiplicity 6)

Summary:
- Energy relative to the elements: 0.027 eV per atom
- Crystal system: trigonal
- Total moment: 3.6 μB per formula unit

6.
Computed, not measured: an optimized crystal structure of Mn2CrRh at the PBE-GGA level of DFT.

a = 2.5814 Å, b = 2.5814 Å, c = 24.9358 Å
α = 90.00°, β = 90.00°, γ = 120.00°
Space group R3m (No. 160, hexagonal axes)
One atom of each set of equivalent atoms:
Mn (0.0000, 0.0000, 0.0000) (multiplicity 3)
Mn (0.0000, 0.0000, 0.2574) (multiplicity 3)
Cr (0.0000, 0.0000, 0.5070) (multiplicity 3)
Rh (0.0000, 0.0000, 0.7553) (multiplicity 3)

Summary:
- Energy relative to the elements: 0.134 eV per atom
- Crystal system: trigonal
- Total moment: 0.0 μB per formula unit